Model a:
A geometry-optimized Ac2Zn3Ga structure. Source: Alexandria, functional PBE-GGA.

a = 4.171 Å, b = 4.629 Å, c = 8.030 Å
α = 90.00°, β = 90.00°, γ = 90.00°
Space group Pmm2 (No. 25)
Inequivalent atoms, fractional coordinates:
Ac 0.000 0.000 0.000 x1
Ac 0.000 0.500 0.493 x1
Zn 0.500 0.000 0.666 x1
Zn 0.500 0.500 0.161 x1
Zn 0.500 0.500 0.829 x1
Ga 0.500 0.000 0.332 x1


Model b:
A geometry-optimized Ac2Zn3Ga structure. Source: Alexandria, functional PBE-GGA.

a = 4.427 Å, b = 4.524 Å, c = 15.603 Å
α = 90.00°, β = 90.00°, γ = 90.00°
Space group Imm2 (No. 44)
Inequivalent atoms, fractional coordinates:
Ac 0.000 0.000 0.000 x2
Ac 0.000 0.500 0.256 x2
Zn 0.000 0.000 0.587 x2
Zn 0.000 0.500 0.670 x2
Zn 0.000 0.500 0.838 x2
Ga 0.000 0.000 0.420 x2


Stability check: which of them is least stable? model a.


Model a:
A geometry-optimized Ac3Zn2Ga structure. Source: Alexandria, functional PBE-GGA.

a = 5.5181 Å, b = 5.5181 Å, c = 13.5990 Å
α = 90.00°, β = 90.00°, γ = 120.00°
Space group P-3m1 (No. 164)
Inequivalent atoms, fractional coordinates:
Ac 0.0000 0.0000 0.2500 x2
Ac 0.3333 0.6667 0.4166 x2
Ac 0.3333 0.6667 0.9169 x2
Zn 0.0000 0.0000 0.0000 x1
Zn 0.0000 0.0000 0.5000 x1
Zn 0.3333 0.6667 0.1641 x2
Ga 0.3333 0.6667 0.6667 x2


Model b:
A geometry-optimized Ac3Zn2Ga structure. Source: Alexandria, functional PBE-GGA.

a = 3.906 Å, b = 3.906 Å, c = 11.771 Å
α = 90.00°, β = 90.00°, γ = 90.00°
Space group P4/mmm (No. 123)
Inequivalent atoms, fractional coordinates:
Ac 0.000 0.000 0.000 x1
Ac 0.000 0.000 0.335 x2
Zn 0.500 0.500 0.165 x2
Ga 0.500 0.500 0.500 x1


Stability check: which of them is least stable? model b.